VASP calculation (GGA+U) on crystalline MnBe2AgF8 at its relaxed geometry.

Unit cell a=8.0306 b=5.2939 c=7.4992 alpha=90.00 beta=91.36 gamma=90.00
Last column: nearest neighbours and their distance in Å.
Space group C2/m (No. 12)
Unique sites:
Mn1 0.0000 0.0000 0.0000 (multiplicity 2)  6 F 1.91-1.93
Be1 0.1472 0.5000 0.2100 (multiplicity 4)  4 F 1.49-1.60
Ag1 0.0000 0.0000 0.5000 (multiplicity 2)  2 F 2.31
F1 0.0321 0.2546 0.1826 (multiplicity 8)  1 Be 1.60
F2 0.2280 0.5000 0.3914 (multiplicity 4)  1 Be 1.49
F3 0.2330 0.0000 0.9535 (multiplicity 4)  1 Be 1.58

The calculation puts the total energy at -125.0 eV per cell. Its theoretical density is 3.5 g/cm3. For the total moment, the calculation gives 2.04 μB per formula unit.